A plane-wave DFT calculation with PBE was carried out for a relaxed structure of RbIrRu.

Cell and atoms, written as POSCAR:
```
RbIrRu
1.0
4.7574 0.0000 0.0000
1.8831 4.3773 0.0000
1.5983 -0.5178 10.5003
Rb Ir Ru
2 2 2
direct
0.0000 0.0000 0.0000
0.2242 0.4316 0.4149
0.0953 0.4722 0.7476
0.6250 0.4630 0.6699
0.1272 0.9623 0.6640
0.5934 0.9728 0.7525
```

The symmetry is P1. The formation energy is 0.5043 eV per atom. Its density of states at the Fermi level is 1.020 states/eV per atom. As for the excess energy over the best structure of this formula in the dataset: 4.0 meV/atom.